(1)
Compound: Ba5Ru2O10
Source: Alexandria via LeMat-Bulk
Functional: PBE
Structure: optimized geometry

Summary:
The density of states at the Fermi level comes out at 0.39 states/eV/f.u. The formation energy (no corrections) is -2.027 eV/atom. The total energy comes out at -6.6006 eV per atom.

a = 6.0751 Å, b = 6.0751 Å, c = 18.0629 Å
α = 90.00°, β = 90.00°, γ = 120.00°
Fractional positions:
Ba1 0.0000 0.0000 0.1365
Ba2 0.0000 0.0000 0.3635
Ba3 0.0000 0.0000 0.6365
Ba4 0.0000 0.0000 0.8635
Ba5 0.3333 0.6667 0.0156
Ba6 0.3333 0.6667 0.2500
Ba7 0.3333 0.6667 0.4844
Ba8 0.6667 0.3333 0.5156
Ba9 0.6667 0.3333 0.7500
Ba10 0.6667 0.3333 0.9844
Ru1 0.3333 0.6667 0.6727
Ru2 0.3333 0.6667 0.8273
Ru3 0.6667 0.3333 0.1727
Ru4 0.6667 0.3333 0.3273
O1 0.0000 0.0000 0.0000
O2 0.0000 0.0000 0.5000
O3 0.0240 0.5120 0.6161
O4 0.0240 0.5120 0.8839
O5 0.1870 0.3741 0.7500
O6 0.1870 0.8130 0.7500
O7 0.3741 0.1870 0.2500
O8 0.4880 0.5120 0.6161
O9 0.4880 0.5120 0.8839
O10 0.4880 0.9760 0.6161
O11 0.4880 0.9760 0.8839
O12 0.5120 0.0240 0.1161
O13 0.5120 0.0240 0.3839
O14 0.5120 0.4880 0.1161
O15 0.5120 0.4880 0.3839
O16 0.6259 0.8130 0.7500
O17 0.8130 0.1870 0.2500
O18 0.8130 0.6259 0.2500
O19 0.9760 0.4880 0.1161
O20 0.9760 0.4880 0.3839

(2)
Compound: Ba4RuO7
Source: Alexandria via LeMat-Bulk
Functional: PBE
Structure: optimized geometry

Summary:
The density of states at the Fermi level comes out at 7.78 states/eV/f.u. The formation energy (no corrections) is -1.787 eV/atom. The total energy comes out at -6.0933 eV per atom.

a = 7.7104 Å, b = 7.7104 Å, c = 10.4674 Å
α = 127.85°, β = 127.85°, γ = 31.41°
Fractional positions:
Ba1 0.0980 0.0980 0.4144
Ba2 0.2545 0.2545 0.1627
Ba3 0.7455 0.7455 0.8373
Ba4 0.9020 0.9020 0.5856
Ru1 0.5000 0.5000 0.0000
O1 0.0000 0.0000 0.0000
O2 0.1223 0.1223 0.7088
O3 0.2819 0.2819 0.4234
O4 0.4163 0.4163 0.0664
O5 0.5837 0.5837 0.9336
O6 0.7181 0.7181 0.5766
O7 0.8777 0.8777 0.2912

(3)
Compound: Ba3Ru2O9
Source: Alexandria via LeMat-Bulk
Functional: PBE
Structure: optimized geometry

Summary:
The density of states at the Fermi level comes out at 6.88 states/eV/f.u. The formation energy (no corrections) is -1.778 eV/atom. The total energy comes out at -6.7024 eV per atom.

a = 7.5223 Å, b = 7.5223 Å, c = 7.5223 Å
α = 84.78°, β = 84.78°, γ = 84.78°
Fractional positions:
Ba1 0.0822 0.7500 0.4178
Ba2 0.2500 0.5822 0.9178
Ba3 0.4178 0.0822 0.7500
Ba4 0.5822 0.9178 0.2500
Ba5 0.7500 0.4178 0.0822
Ba6 0.9178 0.2500 0.5822
Ru1 0.1482 0.1482 0.1482
Ru2 0.3518 0.3518 0.3518
Ru3 0.6482 0.6482 0.6482
Ru4 0.8518 0.8518 0.8518
O1 0.0734 0.9122 0.7497
O2 0.0878 0.2503 0.9266
O3 0.1027 0.3973 0.2500
O4 0.2500 0.1027 0.3973
O5 0.2497 0.4122 0.5734
O6 0.2503 0.9266 0.0878
O7 0.3973 0.2500 0.1027
O8 0.4122 0.5734 0.2497
O9 0.4266 0.7503 0.5878
O10 0.5734 0.2497 0.4122
O11 0.5878 0.4266 0.7503
O12 0.6027 0.7500 0.8973
O13 0.7497 0.0734 0.9122
O14 0.7503 0.5878 0.4266
O15 0.7500 0.8973 0.6027
O16 0.8973 0.6027 0.7500
O17 0.9122 0.7497 0.0734
O18 0.9266 0.0878 0.2503

(4)
Compound: BaRu2O8
Source: Alexandria via LeMat-Bulk
Functional: PBE
Structure: optimized geometry

Summary:
The energy relative to the lowest polymorph listed for this composition is 5.53 eV per formula unit. The density of states at the Fermi level comes out at 8.62 states/eV/f.u. The formation energy (no corrections) is -0.639 eV/atom. The total energy comes out at -6.1067 eV per atom.

a = 4.7671 Å, b = 4.7671 Å, c = 6.5766 Å
α = 90.00°, β = 90.00°, γ = 90.00°
Fractional positions:
Ba1 0.0000 0.0000 0.0000
Ru1 0.0000 0.5000 0.5000
Ru2 0.5000 0.0000 0.5000
O1 0.2518 0.2518 0.3244
O2 0.2518 0.2518 0.6756
O3 0.2518 0.7482 0.3244
O4 0.2518 0.7482 0.6756
O5 0.7482 0.2518 0.3244
O6 0.7482 0.2518 0.6756
O7 0.7482 0.7482 0.3244
O8 0.7482 0.7482 0.6756

(5)
Compound: BaRu3O12
Source: Alexandria via LeMat-Bulk
Functional: PBE
Structure: optimized geometry

Summary:
The density of states at the Fermi level comes out at 14.17 states/eV/f.u. The formation energy (no corrections) is -0.979 eV/atom. The total energy comes out at -6.5566 eV per atom.

a = 11.4875 Å, b = 11.4875 Å, c = 11.4875 Å
α = 47.70°, β = 47.70°, γ = 47.70°
Fractional positions:
Ba1 0.0000 0.0000 0.0000
Ba2 0.5000 0.5000 0.5000
Ru1 0.0812 0.3840 0.7149
Ru2 0.2149 0.8840 0.5812
Ru3 0.3840 0.7149 0.0812
Ru4 0.5812 0.2149 0.8840
Ru5 0.7149 0.0812 0.3840
Ru6 0.8840 0.5812 0.2149
O1 0.0847 0.4581 0.1089
O2 0.1089 0.0847 0.4581
O3 0.1439 0.2330 0.6616
O4 0.1616 0.7330 0.6439
O5 0.1677 0.8808 0.7628
O6 0.2330 0.6616 0.1439
O7 0.2628 0.3808 0.6677
O8 0.3129 0.9366 0.9592
O9 0.3808 0.6677 0.2628
O10 0.4366 0.8129 0.4592
O11 0.4581 0.1089 0.0847
O12 0.4592 0.4366 0.8129
O13 0.5847 0.6089 0.9581
O14 0.6089 0.9581 0.5847
O15 0.6439 0.1616 0.7330
O16 0.6616 0.1439 0.2330
O17 0.6677 0.2628 0.3808
O18 0.7330 0.6439 0.1616
O19 0.7628 0.1677 0.8808
O20 0.8129 0.4592 0.4366
O21 0.8808 0.7628 0.1677
O22 0.9366 0.9592 0.3129
O23 0.9581 0.5847 0.6089
O24 0.9592 0.3129 0.9366

(6)
Compound: Ba6Ru3O14
Source: Alexandria via LeMat-Bulk
Functional: PBE
Structure: optimized geometry

Summary:
The density of states at the Fermi level comes out at 9.06 states/eV/f.u. The formation energy (no corrections) is -1.891 eV/atom. The total energy comes out at -6.6209 eV per atom.

a = 9.6141 Å, b = 9.6141 Å, c = 5.4360 Å
α = 90.00°, β = 90.00°, γ = 120.00°
Fractional positions:
Ba1 0.0079 0.5675 0.0000
Ba2 0.3094 0.0832 0.5222
Ba3 0.4325 0.4403 0.0000
Ba4 0.5597 0.9921 0.0000
Ba5 0.7738 0.6906 0.5222
Ba6 0.9168 0.2262 0.5222
Ru1 0.0000 0.0000 0.9642
Ru2 0.3333 0.6667 0.4307
Ru3 0.6667 0.3333 0.3087
O1 0.0000 0.0000 0.2971
O2 0.0529 0.8585 0.8243
O3 0.1415 0.1944 0.8243
O4 0.1995 0.4693 0.2976
O5 0.2699 0.8005 0.2976
O6 0.3333 0.6667 0.7624
O7 0.4669 0.1971 0.1018
O8 0.5267 0.3931 0.5066
O9 0.5307 0.7301 0.2976
O10 0.6069 0.1336 0.5066
O11 0.7302 0.5331 0.1018
O12 0.8029 0.2698 0.1018
O13 0.8056 0.9471 0.8243
O14 0.8664 0.4733 0.5066

(7)
Compound: Ba2RuO
Source: Alexandria via LeMat-Bulk
Functional: PBE
Structure: optimized geometry

Summary:
The density of states at the Fermi level comes out at 0.20 states/eV/f.u. The formation energy (no corrections) is -0.452 eV/atom. The total energy comes out at -4.9717 eV per atom.

a = 6.9573 Å, b = 6.9573 Å, c = 6.9573 Å
α = 115.45°, β = 115.45°, γ = 98.07°
Fractional positions:
Ba1 0.0522 0.6250 0.9272
Ba2 0.3750 0.3022 0.4272
Ba3 0.6978 0.1250 0.0728
Ba4 0.8750 0.9478 0.5728
Ru1 0.2500 0.7500 0.5000
Ru2 0.5000 0.5000 0.0000
O1 0.0000 0.0000 0.0000
O2 0.7500 0.2500 0.5000

(8)
Compound: BaRuO4
Source: Alexandria via LeMat-Bulk
Functional: PBE
Structure: optimized geometry

Summary:
The energy relative to the lowest polymorph listed for this composition is 0.00 eV per formula unit. The formation energy (no corrections) is -1.606 eV/atom. The total energy comes out at -6.7781 eV per atom.

a = 7.3689 Å, b = 7.9720 Å, c = 9.2260 Å
α = 90.00°, β = 126.46°, γ = 90.00°
Fractional positions:
Ba1 0.1784 0.1547 0.2783
Ba2 0.1784 0.3453 0.7783
Ba3 0.8216 0.6547 0.2217
Ba4 0.8216 0.8453 0.7217
Ru1 0.3083 0.6660 0.1973
Ru2 0.3083 0.8340 0.6973
Ru3 0.6917 0.1660 0.3027
Ru4 0.6917 0.3340 0.8027
O1 0.1104 0.6619 0.6119
O2 0.1104 0.8381 0.1119
O3 0.1909 0.5017 0.2502
O4 0.1909 0.9983 0.7502
O5 0.3305 0.6129 0.0182
O6 0.3305 0.8871 0.5182
O7 0.4062 0.2204 0.1247
O8 0.4062 0.2796 0.6247
O9 0.5938 0.7204 0.3753
O10 0.5938 0.7796 0.8753
O11 0.6695 0.1129 0.4818
O12 0.6695 0.3871 0.9818
O13 0.8091 0.0017 0.2498
O14 0.8091 0.4983 0.7498
O15 0.8896 0.1619 0.8881
O16 0.8896 0.3381 0.3881

(9)
Compound: BaRuO2
Source: Alexandria via LeMat-Bulk
Functional: PBE
Structure: optimized geometry

Summary:
The density of states at the Fermi level comes out at 3.02 states/eV/f.u. The formation energy (no corrections) is -0.758 eV/atom. The total energy comes out at -6.0366 eV per atom.

a = 6.6047 Å, b = 6.6047 Å, c = 6.6047 Å
α = 30.31°, β = 30.31°, γ = 30.31°
Fractional positions:
Ba1 0.0000 0.0000 0.0000
Ru1 0.5000 0.5000 0.5000
O1 0.1301 0.1301 0.1301
O2 0.8699 0.8699 0.8699

(10)
Compound: BaRuO2
Source: Alexandria via LeMat-Bulk
Functional: PBE
Structure: optimized geometry

Summary:
The density of states at the Fermi level comes out at 3.67 states/eV/f.u. The formation energy (no corrections) is -0.462 eV/atom. The total energy comes out at -5.7404 eV per atom.

a = 4.4068 Å, b = 4.4068 Å, c = 4.4068 Å
α = 60.00°, β = 60.00°, γ = 60.00°
Fractional positions:
Ba1 0.0000 0.0000 0.0000
Ru1 0.5000 0.5000 0.5000
O1 0.2500 0.2500 0.2500
O2 0.7500 0.7500 0.7500

(11)
Compound: BaRu2O2
Source: Alexandria via LeMat-Bulk
Functional: PBE
Structure: optimized geometry

Summary:
The energy relative to the lowest polymorph listed for this composition is 0.63 eV per formula unit. The density of states at the Fermi level comes out at 4.82 states/eV/f.u. The formation energy (no corrections) is -0.233 eV/atom. The total energy comes out at -6.3116 eV per atom.

a = 5.2076 Å, b = 5.2076 Å, c = 5.2076 Å
α = 132.65°, β = 132.65°, γ = 69.20°
Fractional positions:
Ba1 0.0000 0.0000 0.0000
Ru1 0.3424 0.3424 0.0000
Ru2 0.6576 0.6576 0.0000
O1 0.2500 0.7500 0.5000
O2 0.7500 0.2500 0.5000

(12)
Compound: BaRu2O2
Source: Alexandria via LeMat-Bulk
Functional: PBE
Structure: optimized geometry

Summary:
The energy relative to the lowest polymorph listed for this composition is 0.00 eV per formula unit. The density of states at the Fermi level comes out at 3.95 states/eV/f.u. The formation energy (no corrections) is -0.360 eV/atom. The total energy comes out at -6.4384 eV per atom.

a = 7.6345 Å, b = 7.6345 Å, c = 3.7193 Å
α = 90.00°, β = 90.00°, γ = 90.00°
Fractional positions:
Ba1 0.0000 0.0000 0.0000
Ba2 0.5000 0.5000 0.0000
Ru1 0.1048 0.3952 0.0000
Ru2 0.3952 0.8952 0.0000
Ru3 0.6048 0.1048 0.0000
Ru4 0.8952 0.6048 0.0000
O1 0.1533 0.3467 0.5000
O2 0.3467 0.8467 0.5000
O3 0.6533 0.1533 0.5000
O4 0.8467 0.6533 0.5000

(13)
Compound: BaRu2O8
Source: Alexandria via LeMat-Bulk
Functional: PBE
Structure: optimized geometry

Summary:
The energy relative to the lowest polymorph listed for this composition is 0.00 eV per formula unit. The density of states at the Fermi level comes out at 8.18 states/eV/f.u. The formation energy (no corrections) is -1.142 eV/atom. The total energy comes out at -6.6094 eV per atom.

a = 6.2320 Å, b = 6.2320 Å, c = 6.8568 Å
α = 109.58°, β = 109.58°, γ = 52.25°
Fractional positions:
Ba1 0.0000 0.0000 0.0000
Ru1 0.2071 0.2071 0.6949
Ru2 0.7929 0.7929 0.3051
O1 0.1057 0.6102 0.2177
O2 0.1577 0.1577 0.4195
O3 0.3755 0.3755 0.8196
O4 0.3898 0.8943 0.7823
O5 0.6102 0.1057 0.2177
O6 0.6245 0.6245 0.1804
O7 0.8423 0.8423 0.5805
O8 0.8943 0.3898 0.7823

(14)
Compound: Ba2Ru3O8
Source: Alexandria via LeMat-Bulk
Functional: PBE
Structure: optimized geometry

Summary:
The density of states at the Fermi level comes out at 7.26 states/eV/f.u. The formation energy (no corrections) is -1.521 eV/atom. The total energy comes out at -7.0084 eV per atom.

a = 6.8488 Å, b = 6.8488 Å, c = 5.4493 Å
α = 108.03°, β = 108.03°, γ = 56.72°
Fractional positions:
Ba1 0.2161 0.2161 0.1761
Ba2 0.7839 0.7839 0.8239
Ru1 0.2426 0.7574 0.5000
Ru2 0.5000 0.5000 0.0000
Ru3 0.7574 0.2426 0.5000
O1 0.1019 0.1019 0.5025
O2 0.2006 0.6207 0.1233
O3 0.3793 0.7994 0.8767
O4 0.4133 0.4133 0.5992
O5 0.5867 0.5867 0.4008
O6 0.6207 0.2006 0.1233
O7 0.7994 0.3793 0.8767
O8 0.8981 0.8981 0.4975

(15)
Compound: BaRu2O6
Source: Alexandria via LeMat-Bulk
Functional: PBE
Structure: optimized geometry

Summary:
The energy relative to the lowest polymorph listed for this composition is 0.00 eV per formula unit. The density of states at the Fermi level comes out at 5.32 states/eV/f.u. The formation energy (no corrections) is -1.423 eV/atom. The total energy comes out at -7.0029 eV per atom.

a = 5.3693 Å, b = 5.3693 Å, c = 5.5512 Å
α = 90.00°, β = 90.00°, γ = 120.00°
Fractional positions:
Ba1 0.0000 0.0000 0.0000
Ru1 0.3333 0.6667 0.5000
Ru2 0.6667 0.3333 0.5000
O1 0.0000 0.3913 0.6884
O2 0.0000 0.6087 0.3116
O3 0.3913 0.0000 0.6884
O4 0.3913 0.3913 0.3116
O5 0.6087 0.0000 0.3116
O6 0.6087 0.6087 0.6884

(16)
Compound: BaRu2O7
Source: Alexandria via LeMat-Bulk
Functional: PBE
Structure: optimized geometry

Summary:
The density of states at the Fermi level comes out at 5.50 states/eV/f.u. The formation energy (no corrections) is -1.124 eV/atom. The total energy comes out at -6.6426 eV per atom.

a = 6.0403 Å, b = 6.0403 Å, c = 3.8518 Å
α = 90.00°, β = 90.00°, γ = 117.49°
Fractional positions:
Ba1 0.0000 0.0000 0.0000
Ru1 0.3098 0.6902 0.5000
Ru2 0.6902 0.3098 0.5000
O1 0.0355 0.3330 0.5000
O2 0.3065 0.6935 0.0000
O3 0.3330 0.0355 0.5000
O4 0.5000 0.5000 0.5000
O5 0.6670 0.9645 0.5000
O6 0.6935 0.3065 0.0000
O7 0.9645 0.6670 0.5000

(17)
Compound: BaSbRuO6
Source: Alexandria via LeMat-Bulk
Functional: PBE
Structure: optimized geometry

Summary:
The density of states at the Fermi level comes out at 2.22 states/eV/f.u. The formation energy (no corrections) is -1.636 eV/atom. The total energy comes out at -6.6435 eV per atom.

a = 5.3511 Å, b = 5.3511 Å, c = 5.8344 Å
α = 90.00°, β = 90.00°, γ = 120.00°
Fractional positions:
Ba1 0.0000 0.0000 0.0000
Sb1 0.6667 0.3333 0.5000
Ru1 0.3333 0.6667 0.5000
O1 0.0054 0.3858 0.6916
O2 0.0054 0.6196 0.3084
O3 0.3804 0.3858 0.3084
O4 0.3804 0.9946 0.6916
O5 0.6142 0.6196 0.6916
O6 0.6142 0.9946 0.3084

(18)
Compound: Ba2SbRuO6
Source: Alexandria via LeMat-Bulk
Functional: PBE
Structure: optimized geometry

Summary:
The density of states at the Fermi level comes out at 5.69 states/eV/f.u. The formation energy (no corrections) is -1.820 eV/atom. The total energy comes out at -6.5194 eV per atom.

a = 5.8794 Å, b = 5.8794 Å, c = 5.8794 Å
α = 120.03°, β = 120.01°, γ = 89.96°
Fractional positions:
Ba1 0.2501 0.2501 0.0000
Ba2 0.7499 0.7499 0.0000
Sb1 0.5000 0.0000 0.5000
Ru1 0.0000 0.5000 0.5000
O1 0.2502 0.7502 0.5000
O2 0.2507 0.2505 0.5012
O3 0.2507 0.7495 0.0002
O4 0.7493 0.2505 0.9998
O5 0.7493 0.7495 0.4988
O6 0.7498 0.2498 0.5000

(19)
Compound: BaSbRu2O8
Source: Alexandria via LeMat-Bulk
Functional: PBE
Structure: optimized geometry

Summary:
The density of states at the Fermi level comes out at 9.36 states/eV/f.u. The formation energy (no corrections) is -1.159 eV/atom. The total energy comes out at -6.5146 eV per atom.

a = 5.6152 Å, b = 5.6152 Å, c = 7.7526 Å
α = 90.00°, β = 90.00°, γ = 120.00°
Fractional positions:
Ba1 0.0000 0.0000 0.0000
Sb1 0.0000 0.0000 0.5000
Ru1 0.3333 0.6667 0.7586
Ru2 0.6667 0.3333 0.2414
O1 0.0706 0.3201 0.6845
O2 0.2495 0.9294 0.6845
O3 0.3201 0.2495 0.3155
O4 0.3333 0.6667 0.9883
O5 0.6667 0.3333 0.0117
O6 0.6799 0.7505 0.6845
O7 0.7505 0.0706 0.3155
O8 0.9294 0.6799 0.3155